1.
Below is MnV2O8 after structural relaxation, with properties calculated at the PBE with a Hubbard U level.

The structure belongs to space group C2/m (No. 12); the cell edges are 8.177, 8.540 and 4.870 Å and the angles 90.00°, 95.36° and 90.00°. The asymmetric unit holds Mn at (0.000, 0.000, 0.000), V at (0.228, 0.000, 0.436), O at (0.053, 0.500, 0.625), O at (0.124, 0.147, 0.245) and O at (0.179, 0.000, 0.771).

The density comes out at 2.79 g/cm3. The raw total energy is -153.0 eV per cell.

---

2.
Below is Mn3V2O8 after structural relaxation, with properties calculated at the PBE with a Hubbard U level.

The structure belongs to space group Cmce (No. 64); the cell edges are 6.328, 11.927 and 8.613 Å and the angles 90.00°, 90.00° and 90.00°. The asymmetric unit holds Mn at (0.000, 0.000, 0.000), Mn at (0.250, 0.138, 0.250), V at (0.000, 0.119, 0.618), O at (0.000, 0.001, 0.751), O at (0.000, 0.246, 0.722) and O at (0.224, 0.117, 0.501).

As for the energy above the most stable polymorph in this dataset: 0.00 eV per formula unit. The density comes out at 4.03 g/cm3.

---

3.
Below is MnVO4 after structural relaxation, with properties calculated at the PBE with a Hubbard U level.

The structure belongs to space group Pnc2 (No. 30); the cell edges are 5.033, 4.498 and 5.543 Å and the angles 90.00°, 90.00° and 90.00°. The asymmetric unit holds Mn at (0.000, 0.000, 0.000), V at (0.500, 0.000, 0.332), O at (0.180, 0.218, 0.264) and O at (0.358, 0.743, 0.527).

The density comes out at 4.50 g/cm3. The raw total energy is -89.6 eV per cell.

---

4.
Below is Mn2VO4 after structural relaxation, with properties calculated at the PBE with a Hubbard U level.

The structure belongs to space group I4_1/amd (No. 141, origin choice 2); the cell edges are 6.246, 6.246 and 8.503 Å and the angles 90.00°, 90.00° and 90.00°. The asymmetric unit holds Mn at (0.000, 0.000, 0.000), V at (0.000, 0.250, 0.375) and O at (0.000, 0.003, 0.742).

As for the energy above the most stable polymorph in this dataset: 0.00 eV per formula unit. The density comes out at 4.50 g/cm3.

---

5.
Below is Mn3VO after structural relaxation, with properties calculated at the PBE with a Hubbard U level.

The structure belongs to space group Pm-3m (No. 221); the cell edges are 4.857, 4.857 and 4.857 Å and the angles 90.00°, 90.00° and 90.00°. The asymmetric unit holds Mn at (0.000, 0.000, 0.500), V at (0.000, 0.000, 0.000) and O at (0.500, 0.500, 0.500).

As for the energy above the most stable polymorph in this dataset: 7.48 eV per formula unit. The density comes out at 3.36 g/cm3.

---

6.
Below is Mn3VO after structural relaxation, with properties calculated at the PBE with a Hubbard U level.

The structure belongs to space group Pm-3m (No. 221); the cell edges are 4.333, 4.333 and 4.333 Å and the angles 90.00°, 90.00° and 90.00°. The asymmetric unit holds Mn at (0.000, 0.000, 0.500), V at (0.500, 0.500, 0.500) and O at (0.000, 0.000, 0.000).

As for the energy above the most stable polymorph in this dataset: 0.00 eV per formula unit. The density comes out at 4.73 g/cm3.

---

7.
Below is MnV4O8 after structural relaxation, with properties calculated at the PBE with a Hubbard U level.

The structure belongs to space group F-43m (No. 216); the cell edges are 8.492, 8.492 and 8.492 Å and the angles 90.00°, 90.00° and 90.00°. The asymmetric unit holds Mn at (0.000, 0.000, 0.000), V at (0.120, 0.120, 0.620), O at (0.112, 0.112, 0.388) and O at (0.139, 0.139, 0.861).

The density comes out at 4.19 g/cm3. The raw total energy is -406.2 eV per cell.

---

8.
Below is Mn2V3O8 after structural relaxation, with properties calculated at the PBE with a Hubbard U level.

The structure belongs to space group C2/m (No. 12); the cell edges are 10.641, 6.099 and 4.925 Å and the angles 90.00°, 109.86° and 90.00°. The asymmetric unit holds Mn at (0.221, 0.000, 0.151), V at (0.000, 0.234, 0.500), V at (0.000, 0.500, 0.000), O at (0.102, 0.000, 0.420), O at (0.103, 0.500, 0.394) and O at (0.114, 0.277, 0.888).

The density comes out at 4.32 g/cm3. The raw total energy is -204.0 eV per cell.